# Ga2Tc

A relaxed Ga2Tc crystal (PBE, Alexandria via LeMat-Bulk).

Calculated values
DFT formation energy: -127 meV/atom
space group: No. 69

Cell lengths 3.2482, 3.2482, 4.8204 Å; angles 109.76, 109.76, 89.78 degrees
Last column: magnetic moment on the atom in μB.
Atoms (fractional coordinates):
Ga1 0.1612 0.1612 0.3223  0.02
Ga2 0.8388 0.8388 0.6777  0.02
Tc1 0.5000 0.5000 0.0000  0.43

***

# GaTc4

A relaxed GaTc4 crystal (PBE, Alexandria via LeMat-Bulk).

Calculated values
DFT formation energy: 1611 meV/atom
space group: No. 221

Cell lengths 4.4478, 4.4478, 4.4478 Å; angles 90.00, 90.00, 90.00 degrees
Last column: magnetic moment on the atom in μB.
Atoms (fractional coordinates):
Tc1 0.0000 0.0000 0.0000  1.35
Tc2 0.5000 0.0000 0.5000  -0.47
Ga1 0.5000 0.5000 0.5000  -0.02
Tc3 0.0000 0.5000 0.5000  -0.47
Tc4 0.5000 0.5000 0.0000  -0.47

***

# Ga6Tc

A relaxed Ga6Tc crystal (PBE, Alexandria via LeMat-Bulk).

Calculated values
DFT formation energy: -120 meV/atom
space group: No. 63

Cell lengths 5.0871, 5.0871, 9.2023 Å; angles 90.00, 90.00, 97.77 degrees
Atoms (fractional coordinates):
Ga1 0.4047 0.0436 0.2500
Ga2 0.3241 0.6759 0.0000
Ga3 0.6759 0.3241 0.5000
Tc1 0.4393 0.4393 0.7500
Ga4 0.5953 0.9564 0.7500
Ga5 0.9564 0.5953 0.7500
Ga6 0.8836 0.8836 0.1034
Ga7 0.8838 0.8838 0.3965
Ga8 0.1164 0.1164 0.8966
Tc2 0.5607 0.5607 0.2500
Ga9 0.0436 0.4047 0.2500
Ga10 0.6759 0.3241 0.0000
Ga11 0.3241 0.6759 0.5000
Ga12 0.1162 0.1162 0.6035

***

# GaTcTe3

A relaxed GaTcTe3 crystal (PBE, Alexandria via LeMat-Bulk).

Calculated values
space group: No. 221
formation energy without anion corrections: 5.23 eV per formula unit

Cell lengths 5.3380, 5.3380, 5.3380 Å; angles 90.00, 90.00, 90.00 degrees
Last column: magnetic moment on the atom in μB.
Atoms (fractional coordinates):
Tc1 0.5000 0.5000 0.5000  3.78
Ga1 0.0000 0.0000 0.0000  -0.01
Te1 0.5000 0.0000 0.0000  -0.05
Te2 0.0000 0.0000 0.5000  -0.03
Te3 0.0000 0.5000 0.0000  -0.06

***

# GaTcTe3

A relaxed GaTcTe3 crystal (PBE, Alexandria via LeMat-Bulk).

Calculated values
space group: No. 221
formation energy without anion corrections: 2.15 eV per formula unit

Cell lengths 5.2935, 5.2935, 5.2935 Å; angles 90.00, 90.00, 90.00 degrees
Atoms (fractional coordinates):
Tc1 0.0000 0.0000 0.0000
Te1 0.5000 0.0000 0.0000
Te2 0.0000 0.0000 0.5000
Te3 0.0000 0.5000 0.0000
Ga1 0.5000 0.5000 0.5000

***

# GaTc3Te

A relaxed GaTc3Te crystal (PBE, Alexandria via LeMat-Bulk).

Calculated values
space group: No. 221
formation energy without anion corrections: 6.83 eV per formula unit

Cell lengths 4.6075, 4.6075, 4.6075 Å; angles 90.00, 90.00, 90.00 degrees
Last column: magnetic moment on the atom in μB.
Atoms (fractional coordinates):
Ga1 0.0000 0.0000 0.0000  -0.03
Te1 0.5000 0.5000 0.5000  -0.04
Tc1 0.0000 0.5000 0.0000  0.85
Tc2 0.0000 0.0000 0.5000  0.96
Tc3 0.5000 0.0000 0.0000  0.78

***

Number 1: total magnetic moment 0.54 μB per formula unit. Number 2: total magnetic moment 0.05 μB per formula unit. Number 3: total magnetic moment 0.00 μB per formula unit. Number 4: total magnetic moment 4.17 μB per formula unit. Number 5: total magnetic moment 0.00 μB per formula unit. Number 6: total magnetic moment 2.86 μB per formula unit.